K2RbMoCl8: relaxed, PBE.

It has space group P2/m (No. 10), with a = 6.0037 Å, b = 9.7934 Å, c = 7.2259 Å, α = 90.00°, β = 108.40° and γ = 90.00°. The distinct sites, in fractional coordinates, are K at (0.0000, 0.2420, 0.0000), Rb at (0.5000, 0.0000, 0.5000), Mo at (0.5000, 0.5000, 0.5000), Cl at (0.0615, 0.0000, 0.7608), Cl at (0.1022, 0.5000, 0.3064) and Cl at (0.4262, 0.3284, 0.7039).

As for the final energy: -3.72 eV/atom. The spin magnetization comes out at 1.49 μB/cell. As for the density of states at the Fermi level: 0.862 states/eV/atom.



SrRe2Cl: relaxed, PBE.

It has space group I-42d (No. 122), with a = 4.8767 Å, b = 4.8767 Å, c = 16.3639 Å, α = 90.00°, β = 90.00° and γ = 90.00°. The distinct sites, in fractional coordinates, are Sr at (0.0000, 0.0000, 0.0000), Re at (0.0432, 0.7500, 0.6250) and Cl at (0.0000, 0.0000, 0.5000).

As for the final energy: -6.06 eV/atom. The spin magnetization comes out at 0.00 μB/cell. As for the density of states at the Fermi level: 0.607 states/eV/atom.



RbCaP3: relaxed, PBE.

It has space group Pm-3m (No. 221), with a = 5.3693 Å, b = 5.3693 Å, c = 5.3693 Å, α = 90.00°, β = 90.00° and γ = 90.00°. The distinct sites, in fractional coordinates, are Rb at (0.0000, 0.0000, 0.0000), Ca at (0.5000, 0.5000, 0.5000) and P at (0.0000, 0.5000, 0.5000).

The value obtained for the energy of formation from the pure elements is 48.1 kJ per mole of atoms. The spin magnetization comes out at 0.00 μB/cell. As for the density of states at the Fermi level: 0.492 states/eV/atom.



AcV2P: relaxed, PBE.

It has space group R-3m (No. 166, hexagonal axes), with a = 3.4878 Å, b = 3.4878 Å, c = 24.8374 Å, α = 90.00°, β = 90.00° and γ = 120.00°. The distinct sites, in fractional coordinates, are Ac at (0.0000, 0.0000, 0.0000), V at (0.0000, 0.0000, 0.1210) and P at (0.0000, 0.0000, 0.5000).

The value obtained for the energy of formation from the pure elements is 22.6 kJ per mole of atoms. The spin magnetization comes out at 5.09 μB/cell. As for the density of states at the Fermi level: 0.985 states/eV/atom.



Cs3U2TlS9: relaxed, PBE.

It has space group P-3m1 (No. 164), with a = 7.4028 Å, b = 7.4028 Å, c = 9.1497 Å, α = 90.00°, β = 90.00° and γ = 120.00°. The distinct sites, in fractional coordinates, are Cs at (0.0000, 0.0000, 0.0000), Cs at (0.3333, 0.6667, 0.6620), U at (0.3333, 0.6667, 0.1677), Tl at (0.0000, 0.0000, 0.5000), S at (0.0000, 0.5000, 0.0000) and S at (0.1717, 0.3435, 0.3194).

As for the final energy: -5.34 eV/atom. The spin magnetization comes out at 0.00 μB/cell. As for the density of states at the Fermi level: 0.190 states/eV/atom.



PaCrTc: relaxed, PBE.

It has space group I4mm (No. 107), with a = 3.6371 Å, b = 3.6371 Å, c = 8.0337 Å, α = 90.00°, β = 90.00° and γ = 90.00°. The distinct sites, in fractional coordinates, are Pa at (0.0000, 0.0000, 0.0000), Cr at (0.0000, 0.0000, 0.2922) and Tc at (0.0000, 0.0000, 0.6863).

The value obtained for the energy of formation from the pure elements is 19.6 kJ per mole of atoms. The spin magnetization comes out at 0.00 μB/cell. As for the density of states at the Fermi level: 1.386 states/eV/atom.



TlCuPd2: relaxed, PBE.

It has space group I-42d (No. 122), with a = 3.9419 Å, b = 3.9419 Å, c = 18.6934 Å, α = 90.00°, β = 90.00° and γ = 90.00°. The distinct sites, in fractional coordinates, are Tl at (0.0000, 0.0000, 0.0000), Cu at (0.0000, 0.0000, 0.5000) and Pd at (0.2354, 0.2500, 0.6250).

The value obtained for the energy of formation from the pure elements is 13.7 kJ per mole of atoms. The spin magnetization comes out at 0.00 μB/cell. As for the density of states at the Fermi level: 0.491 states/eV/atom.



Mg4Sn3Pd: relaxed, PBE.

It has space group P4/mmm (No. 123), with a = 3.6836 Å, b = 3.6836 Å, c = 12.8470 Å, α = 90.00°, β = 90.00° and γ = 90.00°. The distinct sites, in fractional coordinates, are Mg at (0.0000, 0.0000, 0.1061), Mg at (0.0000, 0.0000, 0.3652), Sn at (0.5000, 0.5000, 0.2312), Sn at (0.5000, 0.5000, 0.5000) and Pd at (0.5000, 0.5000, 0.0000).

The value obtained for the energy of formation from the pure elements is -22.4 kJ per mole of atoms. The spin magnetization comes out at 0.00 μB/cell. As for the density of states at the Fermi level: 0.444 states/eV/atom.



Nd2YEr8: relaxed, PBE.

It has space group C2/m (No. 12), with a = 9.0443 Å, b = 16.0152 Å, c = 5.8768 Å, α = 90.00°, β = 123.54° and γ = 90.00°. The distinct sites, in fractional coordinates, are Nd at (0.0000, 0.1930, 0.0000), Y at (0.0000, 0.5000, 0.5000), Er at (0.0000, 0.2925, 0.5000), Er at (0.0682, 0.0000, 0.2956) and Er at (0.2142, 0.3835, 0.1756).

The value obtained for the energy of formation from the pure elements is 15.1 kJ per mole of atoms. The spin magnetization comes out at 0.00 μB/cell. As for the density of states at the Fermi level: 1.329 states/eV/atom.



CeMgI6: relaxed, PBE.

It has space group R-3 (No. 148, hexagonal axes), with a = 7.5195 Å, b = 7.5195 Å, c = 20.5195 Å, α = 90.00°, β = 90.00° and γ = 120.00°. The distinct sites, in fractional coordinates, are Ce at (0.0000, 0.0000, 0.0000), Mg at (0.0000, 0.0000, 0.5000) and I at (0.0049, 0.6568, 0.2481).

As for the final energy: -3.14 eV/atom. The spin magnetization comes out at 0.00 μB/cell.



KCr2Te: relaxed, PBE.

It has space group F-43m (No. 216), with a = 7.5214 Å, b = 7.5214 Å, c = 7.5214 Å, α = 90.00°, β = 90.00° and γ = 90.00°. The distinct sites, in fractional coordinates, are K at (0.0000, 0.0000, 0.0000), Cr at (0.0000, 0.0000, 0.5000), Cr at (0.2500, 0.2500, 0.2500) and Te at (0.2500, 0.2500, 0.7500).

As for the final energy: -5.10 eV/atom. The spin magnetization comes out at 39.81 μB/cell. As for the density of states at the Fermi level: 0.522 states/eV/atom.



GdBi: relaxed, PBE.

It has space group Fm-3m (No. 225), with a = 6.3924 Å, b = 6.3924 Å, c = 6.3924 Å, α = 90.00°, β = 90.00° and γ = 90.00°. The distinct sites, in fractional coordinates, are Gd at (0.0000, 0.0000, 0.0000) and Bi at (0.0000, 0.0000, 0.5000).

The value obtained for the energy of formation from the pure elements is -87.1 kJ per mole of atoms. The spin magnetization comes out at 28.07 μB/cell. As for the density of states at the Fermi level: 0.895 states/eV/atom.